# 1
A relaxed Hf2ScAl9 crystal, computed with PBE.

Geometry as extended XYZ:
```
12
Lattice="4.0940 0.0000 0.0000 0.0000 4.0940 0.0000 0.0000 0.0000 12.2911" Properties=species:S:1:pos:R:3 pbc="T T T"
Hf 0.0000 0.0000 4.0857
Hf 0.0000 0.0000 8.2053
Sc 0.0000 0.0000 0.0000
Al 2.0470 2.0470 0.0000
Al 2.0470 2.0470 4.1091
Al 2.0470 2.0470 8.1820
Al 2.0470 0.0000 2.0546
Al 2.0470 0.0000 6.1455
Al 2.0470 0.0000 10.2364
Al 0.0000 2.0470 2.0546
Al 0.0000 2.0470 6.1455
Al 0.0000 2.0470 10.2364
```

Output
- Magnetization: 0.00 Bohr magnetons per cell
- ρ: 5.20 g/cm³
- Distance to the lowest polymorph of the same formula: 0 meV/atom


# 2
A relaxed WSeCl2 crystal, computed with PBE.

Geometry as extended XYZ:
```
4
Lattice="3.0318 0.0000 0.0000 0.0000 3.0318 0.0000 0.0000 0.0000 8.8214" Properties=species:S:1:pos:R:3 pbc="T T T"
Se 0.0000 0.0000 5.0435
W 1.5159 1.5159 6.6005
Cl 0.0000 0.0000 8.1744
Cl 1.5159 1.5159 2.2350
```

Output
- Magnetization: 0.36 Bohr magnetons per cell
- ρ: 6.83 g/cm³
- Distance to the lowest polymorph of the same formula: 471 meV/atom